Material: Ta3BiRh
Method: DFT, PBE
State: relaxed

```
Ta3BiRh
1.0
5.054 0.000 0.000
0.000 5.054 0.000
0.000 0.000 5.054
Ta Bi Rh
3 1 1
Direct
0.000 0.000 0.500
0.000 0.500 0.000
0.500 0.000 0.000
0.000 0.000 0.000
0.500 0.500 0.500
```

Values from the calculation:
* ΔE_f: 2.53 eV/atom
* space group: Pm-3m (221)
* offset from the most stable computed form: 1581 meV per atom

***

Material: TaBi2Rh
Method: DFT, PBE
State: relaxed

```
TaBi2Rh
1.0
-3.264 3.264 5.788
3.264 -3.264 5.788
3.264 3.264 -5.788
Ta Bi Rh
2 4 2
Direct
0.000 0.000 0.000
0.750 0.250 0.500
0.144 0.625 0.019
0.375 0.394 0.519
0.606 0.125 0.981
0.875 0.856 0.481
0.250 0.750 0.500
0.500 0.500 0.000
```

Values from the calculation:
* ΔE_f: 0.94 eV/atom
* space group: I-42d (122)

***

Material: TaTi2BiRh
Method: DFT, PBE
State: relaxed

```
TaTi2BiRh
1.0
4.987 0.000 0.000
0.000 4.987 0.000
0.000 0.000 4.823
Ta Ti Bi Rh
1 2 1 1
Direct
0.000 0.000 0.000
0.000 0.500 0.500
0.500 0.000 0.500
0.500 0.500 0.500
0.500 0.500 0.000
```

Values from the calculation:
* ΔE_f: 1.52 eV/atom
* space group: P4/mmm (123)

***

Material: TaBiRh2W
Method: DFT, PBE
State: relaxed

```
TaBiRh2W
1.0
4.763 0.000 0.000
0.000 4.763 0.000
0.000 0.000 5.050
Ta Bi Rh W
1 1 2 1
Direct
0.000 0.000 0.000
0.500 0.500 0.500
0.000 0.500 0.500
0.500 0.000 0.500
0.500 0.500 0.000
```

Values from the calculation:
* ΔE_f: 2.04 eV/atom
* space group: P4/mmm (123)

***

Material: TaZnBiRh2
Method: DFT, PBE
State: relaxed

```
TaZnBiRh2
1.0
4.563 0.000 0.000
0.000 4.563 0.000
0.000 0.000 4.823
Ta Zn Bi Rh
1 1 1 2
Direct
0.000 0.000 0.000
0.000 0.000 0.500
0.500 0.500 0.000
0.000 0.500 0.500
0.500 0.000 0.500
```

Values from the calculation:
* ΔE_f: 0.85 eV/atom
* space group: P4/mmm (123)

***

Material: Tb5Bi4Rh
Method: DFT, PBE
State: relaxed

```
Tb5Bi4Rh
1.0
-4.907 4.907 3.159
4.907 -4.907 3.159
4.907 4.907 -3.159
Tb Bi Rh
5 4 1
Direct
0.000 0.000 0.000
0.339 0.713 0.817
0.522 0.339 0.626
0.713 0.896 0.374
0.896 0.522 0.183
0.028 0.819 0.610
0.209 0.418 0.390
0.418 0.028 0.209
0.819 0.209 0.791
0.564 0.564 0.000
```

Values from the calculation:
* ΔE_f: -0.75 eV/atom
* space group: I4 (79)

***

Material: TbBiRh
Method: DFT, PBE
State: relaxed

```
TbBiRh
1.0
-1.913 1.913 4.909
1.913 -1.913 4.909
1.913 1.913 -4.909
Tb Bi Rh
1 1 1
Direct
0.000 0.000 0.000
0.689 0.689 0.000
0.389 0.389 0.000
```

Values from the calculation:
* ΔE_f: -0.44 eV/atom
* space group: I4mm (107)

***

Material: Tb3BiRh3
Method: DFT, PBE
State: relaxed

```
Tb3BiRh3
1.0
8.924 0.000 0.000
-4.462 7.728 0.000
0.000 0.000 4.649
Tb Bi Rh
6 2 6
Direct
0.079 0.681 0.250
0.319 0.398 0.250
0.398 0.079 0.750
0.602 0.921 0.250
0.681 0.602 0.750
0.921 0.319 0.750
0.333 0.667 0.750
0.667 0.333 0.250
0.034 0.839 0.750
0.161 0.195 0.750
0.195 0.034 0.250
0.805 0.966 0.750
0.839 0.805 0.250
0.966 0.161 0.250
```

Values from the calculation:
* ΔE_f: -0.64 eV/atom
* space group: P6_3/m (176)

***

Material: TbBiRh
Method: DFT, PBE
State: relaxed

```
TbBiRh
1.0
7.680 0.000 0.000
-3.840 6.651 0.000
0.000 0.000 4.005
Tb Bi Rh
3 3 3
Direct
0.000 0.600 0.000
0.400 0.400 0.000
0.600 0.000 0.000
0.000 0.265 0.500
0.265 0.000 0.500
0.735 0.735 0.500
0.000 0.000 0.000
0.333 0.667 0.500
0.667 0.333 0.500
```

Values from the calculation:
* ΔE_f: -0.76 eV/atom
* space group: P-62m (189)

***

Material: TbBiRh2
Method: DFT, PBE
State: relaxed

```
TbBiRh2
1.0
8.058 0.000 0.000
0.000 7.318 0.000
-0.260 0.000 5.900
Tb Bi Rh
4 4 8
Direct
0.145 0.080 0.252
0.145 0.420 0.752
0.855 0.580 0.248
0.855 0.920 0.748
0.346 0.542 0.275
0.346 0.958 0.775
0.654 0.042 0.225
0.654 0.458 0.725
0.127 0.749 0.008
0.127 0.751 0.508
0.437 0.223 0.489
0.437 0.277 0.989
0.563 0.723 0.011
0.563 0.777 0.511
0.873 0.249 0.492
0.873 0.251 0.992
```

Values from the calculation:
* ΔE_f: -0.49 eV/atom
* space group: P2_1/c (14)

***

Material: Tb5BiRh2
Method: DFT, PBE
State: relaxed

```
Tb5BiRh2
1.0
-3.934 3.934 6.775
3.934 -3.934 6.775
3.934 3.934 -6.775
Tb Bi Rh
10 2 4
Direct
0.000 0.000 0.000
0.022 0.522 0.811
0.211 0.022 0.500
0.289 0.789 0.811
0.478 0.289 0.500
0.500 0.500 0.000
0.522 0.711 0.500
0.711 0.211 0.189
0.789 0.978 0.500
0.978 0.478 0.189
0.250 0.250 0.000
0.750 0.750 0.000
0.140 0.360 0.500
0.360 0.860 0.220
0.640 0.140 0.780
0.860 0.640 0.500
```

Values from the calculation:
* ΔE_f: -0.71 eV/atom
* space group: I4/mcm (140)

***

Material: Tb3Bi2Rh
Method: DFT, PBE
State: relaxed

```
Tb3Bi2Rh
1.0
-2.106 3.107 6.676
2.106 -3.107 6.676
2.106 3.107 -6.676
Tb Bi Rh
3 2 1
Direct
0.000 0.000 0.000
0.359 0.359 0.000
0.641 0.641 0.000
0.177 0.677 0.500
0.823 0.323 0.500
0.500 0.000 0.500
```

Values from the calculation:
* ΔE_f: -0.66 eV/atom
* space group: Immm (71)